The following is a DFT calculation (PBE) of a geometry-optimized ScRe3Rh structure.

Total magnetization, μB/cell: 0.00
VASP energy, eV per cell: -38.9
Space group: No. 221
Calculated formation energy, eV per atom: 2.433
Energy relative to the lowest polymorph listed for this composition, meV per atom: 707
Theoretical density, g cm⁻³: 12.74

Geometry as extended XYZ:
```
5
Lattice="4.5156 0.0000 0.0000 0.0000 4.5156 0.0000 0.0000 0.0000 4.5156" Properties=species:S:1:pos:R:3 pbc="T T T"
Sc 0.0000 0.0000 0.0000
Re 0.0000 0.0000 2.2578
Re 0.0000 2.2578 0.0000
Re 2.2578 0.0000 0.0000
Rh 2.2578 2.2578 2.2578
```

The following is a DFT calculation (PBE) of a geometry-optimized RbY2Al2 structure.

Total magnetization, μB/cell: 0.00
VASP energy, eV per cell: -42.1
Space group: No. 127
Calculated formation energy, eV per atom: 0.069
Energy relative to the lowest polymorph listed for this composition, meV per atom: 74
Theoretical density, g cm⁻³: 3.60

Geometry as extended XYZ:
```
10
Lattice="9.1282 0.0000 0.0000 0.0000 9.1282 0.0000 0.0000 0.0000 3.5101" Properties=species:S:1:pos:R:3 pbc="T T T"
Rb 0.0000 0.0000 0.0000
Rb 4.5641 4.5641 0.0000
Y 1.5652 2.9989 1.7550
Y 2.9989 7.5631 1.7550
Y 6.1293 1.5652 1.7550
Y 7.5631 6.1293 1.7550
Al 1.0058 5.5700 0.0000
Al 3.5583 1.0058 0.0000
Al 5.5700 8.1224 0.0000
Al 8.1224 3.5583 0.0000
```

The following is a DFT calculation (PBE) of a geometry-optimized YSbI2O structure.

ΔE_f (raw), eV/atom: -0.95
Total magnetization, μB/cell: 0.00
VASP energy, eV per cell: -23.4
Space group: No. 123
Energy relative to the lowest polymorph listed for this composition, meV per atom: 0
Theoretical density, g cm⁻³: 4.97

Geometry as extended XYZ:
```
5
Lattice="6.2274 0.0000 0.0000 0.0000 6.2274 0.0000 0.0000 0.0000 4.1404" Properties=species:S:1:pos:R:3 pbc="T T T"
Y 0.0000 0.0000 0.0000
Sb 3.1137 3.1137 2.0702
I 0.0000 3.1137 0.0000
I 3.1137 0.0000 0.0000
O 0.0000 0.0000 2.0702
```

energy relative to the lowest polymorph listed for this composition of number 1 (ScRe3Rh)?
707 meV per atom